CaEuSn: optimized geometry, PBE.

```
3
Lattice="5.369 0.000 0.000 -2.685 4.650 0.000 0.000 0.000 3.910" Properties=species:S:1:pos:R:3 pbc="T T T"
Ca 0.000 0.000 0.000
Eu 2.685 1.550 1.742
Sn 0.000 3.100 3.095
```

Properties
The symmetry is P3m1, No. 156.

***

CaEu2Sn: optimized geometry, PBE.

```
4
Lattice="1.905 1.100 12.217 -1.905 1.100 12.217 0.000 -2.200 12.217" Properties=species:S:1:pos:R:3 pbc="T T T"
Ca 0.000 0.000 0.000
Eu 0.000 0.000 3.635
Eu 0.000 0.000 33.014
Sn 0.000 0.000 18.325
```

Properties
The symmetry is R-3m, No. 166. Its energy above the most stable polymorph in this dataset is 287 meV per atom.

***

CaEu2Sn: optimized geometry, PBE.

```
4
Lattice="4.202 0.000 0.000 0.000 4.202 0.000 0.000 0.000 8.056" Properties=species:S:1:pos:R:3 pbc="T T T"
Ca 0.000 0.000 0.000
Eu 2.101 2.101 2.369
Eu 2.101 2.101 5.687
Sn 0.000 0.000 4.028
```

Properties
The symmetry is P4/mmm, No. 123. Its energy above the most stable polymorph in this dataset is 95 meV per atom.

***

CaEu2Sn: optimized geometry, PBE.

```
4
Lattice="0.000 4.040 4.040 4.040 0.000 4.040 4.040 4.040 0.000" Properties=species:S:1:pos:R:3 pbc="T T T"
Ca 0.000 0.000 0.000
Eu 2.020 2.020 2.020
Eu 6.059 6.059 6.059
Sn 4.040 4.040 4.040
```

Properties
The symmetry is Fm-3m, No. 225. Its energy above the most stable polymorph in this dataset is 80 meV per atom.

***

Which calculated formation energy belongs to each record? In order, -0.445, -0.131, -0.324, -0.339 eV per atom.